Computed, not measured: a geometry-optimized LiDy2GeO5 structure at the GGA-PBE level of DFT.

Cell: 6.5039 6.5039 5.7350 Å, 90.00 90.00 90.00°
Closest atoms and distances in Å follow each position.
Fractional positions:
Li (0.0000, 0.0000, 0.0000)  10 O 2.87-2.89
Li (0.5000, 0.5000, 0.0000)  10 O 2.87-2.89
Dy (0.1770, 0.3230, 0.5000)  4 O 2.22-2.40
Dy (0.3230, 0.8230, 0.5000)  4 O 2.22-2.40
Dy (0.6770, 0.1770, 0.5000)  4 O 2.22-2.40
Dy (0.8230, 0.6770, 0.5000)  4 O 2.22-2.40
Ge (0.0000, 0.5000, 0.0000)  4 O 1.91
Ge (0.5000, 0.0000, 0.0000)  4 O 1.91
O (0.0000, 0.0000, 0.5000)  4 Dy 2.40
O (0.1391, 0.6391, 0.2481)  1 Ge 1.91
O (0.1391, 0.6391, 0.7519)  1 Ge 1.91
O (0.3609, 0.1391, 0.2481)  1 Ge 1.91
O (0.3609, 0.1391, 0.7519)  1 Ge 1.91
O (0.5000, 0.5000, 0.5000)  4 Dy 2.40
O (0.6391, 0.8609, 0.2481)  1 Ge 1.91
O (0.6391, 0.8609, 0.7519)  1 Ge 1.91
O (0.8609, 0.3609, 0.2481)  1 Ge 1.91
O (0.8609, 0.3609, 0.7519)  1 Ge 1.91

Output
Formation energy (no corrections) (eV/f.u.): -21.09
SG: P4/mbm
Density (kg/m3): 6634

---

Computed, not measured: a geometry-optimized Ce2NdZr structure at the GGA-PBE level of DFT.

Cell: 5.4565 5.4565 5.4565 Å, 60.00 60.00 60.00°
Closest atoms and distances in Å follow each position.
Fractional positions:
Ce (0.2500, 0.2500, 0.2500)  4 Zr 3.34, 4 Nd 3.34
Ce (0.7500, 0.7500, 0.7500)  4 Zr 3.34, 4 Nd 3.34
Nd (0.0000, 0.0000, 0.0000)  8 Ce 3.34
Zr (0.5000, 0.5000, 0.5000)  8 Ce 3.34

Output
Calculated formation energy (eV/atom): 0.2995
SG: Fm-3m
Density (kg/m3): 7455

---

Computed, not measured: a geometry-optimized SmYSi3 structure at the GGA-PBE level of DFT.

Cell: 12.4988 12.4988 3.9612 Å, 90.00 90.00 160.59°
Closest atoms and distances in Å follow each position.
Fractional positions:
Sm (0.0700, 0.9300, 0.7500)  12 Si 3.10-3.39
Sm (0.9300, 0.0700, 0.2500)  12 Si 3.10-3.39
Y (0.2027, 0.7973, 0.2500)  7 Si 2.93-2.96
Y (0.7973, 0.2027, 0.7500)  7 Si 2.93-2.96
Si (0.3221, 0.6779, 0.2500)  2 Si 2.44
Si (0.3801, 0.6199, 0.7500)  3 Si 2.34-2.44
Si (0.4750, 0.5250, 0.7500)  3 Si 2.33-2.34
Si (0.5250, 0.4750, 0.2500)  3 Si 2.33-2.34
Si (0.6199, 0.3801, 0.2500)  3 Si 2.34-2.44
Si (0.6779, 0.3221, 0.7500)  2 Si 2.44

Output
Formation energy (no corrections) (eV/f.u.): -3.54
SG: Cmcm
Density (kg/m3): 5225

---

Computed, not measured: a geometry-optimized SmThCd17 structure at the GGA-PBE level of DFT.

Cell: 7.6683 7.6683 7.6683 Å, 82.38 82.38 82.38°
Closest atoms and distances in Å follow each position.
Fractional positions:
Sm (0.0000, 0.0000, 0.0000)  16 Cd 3.54-3.76
Th (0.3365, 0.3365, 0.3365)  13 Cd 3.39-3.53
Cd (0.0381, 0.0381, 0.4649)  8 Cd 2.86-3.18
Cd (0.0381, 0.4649, 0.0381)  8 Cd 2.86-3.18
Cd (0.1439, 0.6855, 0.6855)  9 Cd 2.91-3.07
Cd (0.3209, 0.3209, 0.7963)  9 Cd 2.86-3.19
Cd (0.3209, 0.7963, 0.3209)  9 Cd 2.86-3.19
Cd (0.3645, 0.6656, 0.9696)  8 Cd 2.91-3.19
Cd (0.3645, 0.9696, 0.6656)  8 Cd 2.91-3.19
Cd (0.4649, 0.0381, 0.0381)  8 Cd 2.86-3.18
Cd (0.5631, 0.5631, 0.5631)  7 Cd 2.94-3.28
Cd (0.6656, 0.3645, 0.9696)  8 Cd 2.91-3.19
Cd (0.6656, 0.9696, 0.3645)  8 Cd 2.91-3.19
Cd (0.6855, 0.1439, 0.6855)  9 Cd 2.91-3.07
Cd (0.6855, 0.6855, 0.1439)  9 Cd 2.91-3.07
Cd (0.7602, 0.7602, 0.7602)  4 Cd 2.92-2.94
Cd (0.7963, 0.3209, 0.3209)  9 Cd 2.86-3.19
Cd (0.9696, 0.3645, 0.6656)  8 Cd 2.91-3.19
Cd (0.9696, 0.6656, 0.3645)  8 Cd 2.91-3.19

Output
Calculated formation energy (eV/atom): -0.1042
SG: R3m
Density (kg/m3): 8656

---

Computed, not measured: a geometry-optimized Ba3Th5Se12 structure at the GGA-PBE level of DFT.

Cell: 15.6358 15.6358 15.6358 Å, 109.47 109.47 109.47°
Closest atoms and distances in Å follow each position.
Fractional positions:
Ba (0.1250, 0.2500, 0.3750)  8 Se 3.47
Ba (0.1250, 0.3750, 0.7500)  8 Se 3.47
Ba (0.2500, 0.3750, 0.1250)  8 Se 3.47
Ba (0.2500, 0.8750, 0.6250)  8 Se 3.47
Ba (0.3750, 0.1250, 0.2500)  8 Se 3.47
Ba (0.3750, 0.7500, 0.1250)  8 Se 3.47
Ba (0.6250, 0.2500, 0.8750)  8 Se 3.47
Ba (0.6250, 0.8750, 0.7500)  8 Se 3.47
Ba (0.7500, 0.1250, 0.3750)  8 Se 3.47
Ba (0.7500, 0.6250, 0.8750)  8 Se 3.47
Ba (0.8750, 0.6250, 0.2500)  8 Se 3.47
Ba (0.8750, 0.7500, 0.6250)  8 Se 3.47
Th (0.0000, 0.0000, 0.0000)  6 Se 2.93
Th (0.0000, 0.0000, 0.5000)  6 Se 2.93
Th (0.0000, 0.5000, 0.0000)  6 Se 2.93
Th (0.0000, 0.5000, 0.5000)  6 Se 2.93
Th (0.1250, 0.7500, 0.8750)  4 Se 2.79
Th (0.1250, 0.8750, 0.2500)  4 Se 2.79
Th (0.2500, 0.1250, 0.8750)  4 Se 2.79
Th (0.2500, 0.6250, 0.3750)  4 Se 2.79
Th (0.3750, 0.2500, 0.6250)  4 Se 2.79
Th (0.3750, 0.6250, 0.7500)  4 Se 2.79
Th (0.5000, 0.0000, 0.0000)  6 Se 2.93
Th (0.5000, 0.0000, 0.5000)  6 Se 2.93
Th (0.5000, 0.5000, 0.0000)  6 Se 2.93
Th (0.5000, 0.5000, 0.5000)  6 Se 2.93
Th (0.6250, 0.3750, 0.2500)  4 Se 2.79
Th (0.6250, 0.7500, 0.3750)  4 Se 2.79
Th (0.7500, 0.3750, 0.6250)  4 Se 2.79
Th (0.7500, 0.8750, 0.1250)  4 Se 2.79
Th (0.8750, 0.1250, 0.7500)  4 Se 2.79
Th (0.8750, 0.2500, 0.1250)  4 Se 2.79
Se (0.0347, 0.2090, 0.1221)  2 Th 2.79-2.93
Se (0.0347, 0.3258, 0.9126)  2 Th 2.79-2.93
Se (0.0874, 0.6221, 0.4131)  2 Th 2.79-2.93
Se (0.0869, 0.7090, 0.6742)  2 Th 2.79-2.93
Se (0.0869, 0.8779, 0.4126)  2 Th 2.79-2.93
Se (0.0874, 0.9653, 0.6742)  2 Th 2.79-2.93
Se (0.1221, 0.0347, 0.2090)  2 Th 2.79-2.93
Se (0.1221, 0.5874, 0.9131)  2 Th 2.79-2.93
Se (0.1742, 0.2090, 0.5869)  2 Th 2.79-2.93
Se (0.1742, 0.4653, 0.5874)  2 Th 2.79-2.93
Se (0.2090, 0.1221, 0.0347)  2 Th 2.79-2.93
Se (0.2090, 0.5869, 0.1742)  2 Th 2.79-2.93
Se (0.2910, 0.3258, 0.9131)  2 Th 2.79-2.93
Se (0.2910, 0.4653, 0.3779)  2 Th 2.79-2.93
Se (0.3258, 0.9126, 0.0347)  2 Th 2.79-2.93
Se (0.3258, 0.9131, 0.2910)  2 Th 2.79-2.93
Se (0.3779, 0.2910, 0.4653)  2 Th 2.79-2.93
Se (0.3779, 0.5869, 0.9126)  2 Th 2.79-2.93
Se (0.4131, 0.0874, 0.6221)  2 Th 2.79-2.93
Se (0.4126, 0.0869, 0.8779)  2 Th 2.79-2.93
Se (0.4126, 0.8258, 0.5347)  2 Th 2.79-2.93
Se (0.4131, 0.8258, 0.7910)  2 Th 2.79-2.93
Se (0.4653, 0.3779, 0.2910)  2 Th 2.79-2.93
Se (0.4653, 0.5874, 0.1742)  2 Th 2.79-2.93
Se (0.5347, 0.4126, 0.8258)  2 Th 2.79-2.93
Se (0.5347, 0.6221, 0.7090)  2 Th 2.79-2.93
Se (0.5869, 0.1742, 0.2090)  2 Th 2.79-2.93
Se (0.5874, 0.1742, 0.4653)  2 Th 2.79-2.93
Se (0.5874, 0.9131, 0.1221)  2 Th 2.79-2.93
Se (0.5869, 0.9126, 0.3779)  2 Th 2.79-2.93
Se (0.6221, 0.4131, 0.0874)  2 Th 2.79-2.93
Se (0.6221, 0.7090, 0.5347)  2 Th 2.79-2.93
Se (0.6742, 0.0869, 0.7090)  2 Th 2.79-2.93
Se (0.6742, 0.0874, 0.9653)  2 Th 2.79-2.93
Se (0.7090, 0.5347, 0.6221)  2 Th 2.79-2.93
Se (0.7090, 0.6742, 0.0869)  2 Th 2.79-2.93
Se (0.7910, 0.4131, 0.8258)  2 Th 2.79-2.93
Se (0.7910, 0.8779, 0.9653)  2 Th 2.79-2.93
Se (0.8258, 0.5347, 0.4126)  2 Th 2.79-2.93
Se (0.8258, 0.7910, 0.4131)  2 Th 2.79-2.93
Se (0.8779, 0.4126, 0.0869)  2 Th 2.79-2.93
Se (0.8779, 0.9653, 0.7910)  2 Th 2.79-2.93
Se (0.9126, 0.0347, 0.3258)  2 Th 2.79-2.93
Se (0.9131, 0.1221, 0.5874)  2 Th 2.79-2.93
Se (0.9131, 0.2910, 0.3258)  2 Th 2.79-2.93
Se (0.9126, 0.3779, 0.5869)  2 Th 2.79-2.93
Se (0.9653, 0.6742, 0.0874)  2 Th 2.79-2.93
Se (0.9653, 0.7910, 0.8779)  2 Th 2.79-2.93

Output
Formation energy (no corrections) (eV/f.u.): -32.14
SG: Ia-3d
Density (kg/m3): 5687

---

Computed, not measured: a geometry-optimized Sn2SbP2 structure at the GGA-PBE level of DFT.

Cell: 9.6218 9.6218 9.6218 Å, 158.76 158.76 30.22°
Closest atoms and distances in Å follow each position.
Fractional positions:
Sn (0.1163, 0.1163, 0.0000)  4 P 3.05, 4 Sb 3.31
Sn (0.8837, 0.8837, 0.0000)  4 P 3.05, 4 Sb 3.31
Sb (0.5000, 0.5000, 0.0000)  8 Sn 3.31, 4 Sb 3.55
P (0.2500, 0.7500, 0.5000)  4 P 2.51
P (0.7500, 0.2500, 0.5000)  4 P 2.51

Output
Formation energy (no corrections) (eV/f.u.): 1.14
SG: I4/mmm
Density (kg/m3): 5984

---

Computed, not measured: a geometry-optimized BaScNi structure at the GGA-PBE level of DFT.

Cell: 3.6836 4.1256 11.5649 Å, 90.00 99.05 90.00°
Closest atoms and distances in Å follow each position.
Fractional positions:
Ba (0.1684, 0.2500, 0.3413)  1 Ni 3.12
Ba (0.8316, 0.7500, 0.6587)  1 Ni 3.12
Sc (0.4499, 0.2500, 0.8982)  6 Ni 2.67-2.79
Sc (0.5501, 0.7500, 0.1018)  6 Ni 2.67-2.79
Ni (0.0337, 0.2500, 0.0678)  2 Ni 2.58, 6 Sc 2.67-2.79
Ni (0.9663, 0.7500, 0.9322)  2 Ni 2.58, 6 Sc 2.67-2.79

Output
Calculated formation energy (eV/atom): -0.1659
SG: P2_1/m
Density (kg/m3): 4611

---

Computed, not measured: a geometry-optimized Ac6Sb3P2Br structure at the GGA-PBE level of DFT.

Cell: 10.3300 10.3300 9.2758 Å, 101.91 101.91 25.92°
Closest atoms and distances in Å follow each position.
Fractional positions:
Ac (0.0100, 0.0100, 0.2628)  1 P 3.10, 3 Sb 3.23-3.35, 2 Br 3.34
Ac (0.3265, 0.3265, 0.8941)  2 P 3.15, 3 Sb 3.28-3.38, 1 Br 3.42
Ac (0.3283, 0.3283, 0.4271)  3 P 3.16-3.20, 3 Sb 3.38-3.41
Ac (0.6717, 0.6717, 0.5729)  3 P 3.16-3.20, 3 Sb 3.38-3.41
Ac (0.6735, 0.6735, 0.1059)  2 P 3.15, 3 Sb 3.28-3.38, 1 Br 3.42
Ac (0.9900, 0.9900, 0.7372)  1 P 3.10, 3 Sb 3.23-3.35, 2 Br 3.34
Sb (0.1598, 0.1598, 0.8360)  6 Ac 3.28-3.41
Sb (0.5000, 0.5000, 0.5000)  6 Ac 3.23-3.38
Sb (0.8402, 0.8402, 0.1640)  6 Ac 3.28-3.41
P (0.1678, 0.1678, 0.3335)  6 Ac 3.10-3.20
P (0.8322, 0.8322, 0.6665)  6 Ac 3.10-3.20
Br (0.5000, 0.5000, 0.0000)  6 Ac 3.34-3.42

Output
Formation energy (no corrections) (eV/f.u.): -15.94
SG: C2/m
Density (kg/m3): 7341

---

Please write out number 7 again, unchanged.
Computed, not measured: a geometry-optimized BaScNi structure at the GGA-PBE level of DFT.

Cell: 3.6836 4.1256 11.5649 Å, 90.00 99.05 90.00°
Closest atoms and distances in Å follow each position.
Fractional positions:
Ba (0.1684, 0.2500, 0.3413)  1 Ni 3.12
Ba (0.8316, 0.7500, 0.6587)  1 Ni 3.12
Sc (0.4499, 0.2500, 0.8982)  6 Ni 2.67-2.79
Sc (0.5501, 0.7500, 0.1018)  6 Ni 2.67-2.79
Ni (0.0337, 0.2500, 0.0678)  2 Ni 2.58, 6 Sc 2.67-2.79
Ni (0.9663, 0.7500, 0.9322)  2 Ni 2.58, 6 Sc 2.67-2.79

Output
Calculated formation energy (eV/atom): -0.1659
SG: P2_1/m
Density (kg/m3): 4611